Density functional theory data (PBE) for a relaxed MgMnIr crystal.

Output
- mass density (g cm⁻³) = 10.18
- spin magnetization (μB/f.u.) = 0.00
- formation energy (eV/atom) = -0.036
- D(E_F) (states/eV per atom) = 0.859
- space group = Pmm2 (25)

Unit cell a=2.7514 b=4.6758 c=6.8809 alpha=90.00 beta=90.00 gamma=90.00
Closest atoms and distances in Å follow each position.
Sites, in units of the cell vectors:
Mg1 0.0000 0.0000 0.0000  4 Mg 2.75-2.92, 6 Ir 2.78-2.92, 2 Mn 2.92
Mg2 0.0000 0.5000 0.2550  2 Mn 2.72, 6 Ir 2.75-2.83, 4 Mg 2.75-2.92
Mn1 0.0000 0.2887 0.6238  1 Mn 1.98
Mn2 0.0000 0.7113 0.6238  1 Mn 1.98
Ir1 0.5000 0.0000 0.3737  4 Mn 2.58, 2 Ir 2.75, 4 Mg 2.83
Ir2 0.5000 0.5000 0.9087  4 Mn 2.59, 6 Mg 2.75-2.78, 2 Ir 2.75

---

Density functional theory data (PBE) for a relaxed Tb4Th3Sc2 crystal.

Output
- mass density (g cm⁻³) = 8.34
- relative energy among the computed polymorphs (meV per atom) = 96
- spin magnetization (μB/f.u.) = 0.00
- formation energy (eV/atom) = 0.201
- D(E_F) (states/eV per atom) = 1.736
- space group = Fmmm (69)

Unit cell a=9.6966 b=8.1989 c=6.7769 alpha=80.09 beta=56.40 gamma=43.51
Closest atoms and distances in Å follow each position.
Sites, in units of the cell vectors:
Tb1 0.0519 0.3276 0.6724  4 Tb 3.27-3.59, 3 Th 3.33-3.54, 1 Sc 3.51
Tb2 0.3276 0.0519 0.9481  4 Tb 3.27-3.59, 3 Th 3.33-3.54, 1 Sc 3.51
Tb3 0.6724 0.9481 0.0519  4 Tb 3.27-3.59, 3 Th 3.33-3.54, 1 Sc 3.51
Tb4 0.9481 0.6724 0.3276  4 Tb 3.27-3.59, 3 Th 3.33-3.54, 1 Sc 3.51
Th1 0.0000 0.0000 0.0000  4 Tb 3.33, 4 Th 3.39, 4 Sc 3.49
Th2 0.0000 0.0000 0.5000  4 Th 3.09-3.39
Th3 0.5000 0.5000 0.0000  4 Th 3.09-3.39
Sc1 0.3934 0.3934 0.6066  1 Sc 3.24, 2 Th 3.49, 2 Tb 3.51
Sc2 0.6066 0.6066 0.3934  1 Sc 3.24, 2 Th 3.49, 2 Tb 3.51

---

Density functional theory data (PBE) for a relaxed Li3In3Ag2Hg crystal.

Output
- mass density (g cm⁻³) = 7.38
- spin magnetization (μB/f.u.) = 0.00
- formation energy (eV/atom) = -0.229
- D(E_F) (states/eV per atom) = 0.279
- space group = P-62m (189)

Unit cell a=7.9840 b=7.9840 c=3.1859 alpha=90.00 beta=90.00 gamma=120.00
Closest atoms and distances in Å follow each position.
Sites, in units of the cell vectors:
Li1 0.0000 0.2936 0.0000  2 Ag 2.83, 2 Hg 2.83, 6 In 3.12-3.14
Li2 0.2936 0.0000 0.0000  2 Ag 2.83, 2 Hg 2.83, 6 In 3.12-3.14
Li3 0.7064 0.7064 0.0000  2 Ag 2.83, 2 Hg 2.83, 6 In 3.12-3.14
In1 0.0000 0.6298 0.5000  1 Hg 2.96, 4 Ag 2.99, 6 Li 3.12-3.14, 2 In 3.19
In2 0.3702 0.3702 0.5000  1 Hg 2.96, 4 Ag 2.99, 6 Li 3.12-3.14, 2 In 3.19
In3 0.6298 0.0000 0.5000  1 Hg 2.96, 4 Ag 2.99, 6 Li 3.12-3.14, 2 In 3.19
Ag1 0.3333 0.6667 0.0000  3 Li 2.83, 6 In 2.99
Ag2 0.6667 0.3333 0.0000  3 Li 2.83, 6 In 2.99
Hg1 0.0000 0.0000 0.5000  6 Li 2.83, 3 In 2.96

---

Density functional theory data (PBE) for a relaxed Co2AuCl crystal.

Output
- mass density (g cm⁻³) = 9.17
- relative energy among the computed polymorphs (meV per atom) = 528
- spin magnetization (μB/f.u.) = 4.08
- D(E_F) (states/eV per atom) = 1.718
- space group = I-4m2 (119)

Unit cell a=5.3948 b=5.3948 c=5.3948 alpha=140.33 beta=140.33 gamma=57.36
Closest atoms and distances in Å follow each position.
Sites, in units of the cell vectors:
Co1 0.0000 0.0000 0.0000  4 Cl 2.59
Co2 0.7500 0.2500 0.5000  4 Au 2.59
Au1 0.2500 0.7500 0.5000  4 Co 2.59
Cl1 0.5000 0.5000 0.0000  4 Co 2.59

---

Density functional theory data (PBE) for a relaxed Li2CrHPt crystal.

Output
- mass density (g cm⁻³) = 7.52
- spin magnetization (μB/f.u.) = 3.94
- total DFT energy (no corrections) (eV/atom) = -4.778
- D(E_F) (states/eV per atom) = 0.488
- space group = P4/mmm (123)

Unit cell a=3.8189 b=3.8189 c=3.9656 alpha=90.00 beta=90.00 gamma=90.00
Closest atoms and distances in Å follow each position.
Sites, in units of the cell vectors:
Li1 0.0000 0.5000 0.0000  2 H 1.91
Li2 0.5000 0.0000 0.0000  2 H 1.91
Cr1 0.0000 0.0000 0.5000  2 H 1.98
H1 0.0000 0.0000 0.0000  4 Li 1.91, 2 Cr 1.98
Pt1 0.5000 0.5000 0.5000  4 Cr 2.70, 8 Li 2.75

---

Density functional theory data (PBE) for a relaxed PmLuRh2 crystal.

Output
- mass density (g cm⁻³) = 10.75
- relative energy among the computed polymorphs (meV per atom) = 8
- spin magnetization (μB/f.u.) = 0.00
- formation energy (eV/atom) = -0.823
- D(E_F) (states/eV per atom) = 0.627
- space group = Fm-3m (225)

Unit cell a=4.8613 b=4.8613 c=4.8613 alpha=60.00 beta=60.00 gamma=60.00
Closest atoms and distances in Å follow each position.
Sites, in units of the cell vectors:
Pm1 0.0000 0.0000 0.0000  8 Rh 2.98
Lu1 0.5000 0.5000 0.5000  8 Rh 2.98
Rh1 0.2500 0.2500 0.2500  4 Pm 2.98, 4 Lu 2.98
Rh2 0.7500 0.7500 0.7500  4 Pm 2.98, 4 Lu 2.98

---

Density functional theory data (PBE) for a relaxed KSm2CuO5 crystal.

Output
- mass density (g cm⁻³) = 6.33
- spin magnetization (μB/f.u.) = 0.00
- total DFT energy (no corrections) (eV/atom) = -6.694
- space group = P4/mbm (127)

Unit cell a=6.6910 b=6.6910 c=5.6635 alpha=90.00 beta=90.00 gamma=90.00
Closest atoms and distances in Å follow each position.
Sites, in units of the cell vectors:
K1 0.0000 0.0000 0.0000  10 O 2.83-2.96
K2 0.5000 0.5000 0.0000  10 O 2.83-2.96
Sm1 0.1773 0.3227 0.5000  8 O 2.33-2.54
Sm2 0.3227 0.8227 0.5000  8 O 2.33-2.54
Sm3 0.6773 0.1773 0.5000  8 O 2.33-2.54
Sm4 0.8227 0.6773 0.5000  8 O 2.33-2.54
Cu1 0.0000 0.5000 0.0000  4 O 1.85
Cu2 0.5000 0.0000 0.0000  4 O 1.85
O1 0.0000 0.0000 0.5000  4 Sm 2.46
O2 0.1303 0.6303 0.2435  1 Cu 1.85
O3 0.1303 0.6303 0.7565  1 Cu 1.85
O4 0.3697 0.1303 0.2435  1 Cu 1.85
O5 0.3697 0.1303 0.7565  1 Cu 1.85
O6 0.5000 0.5000 0.5000  4 Sm 2.46
O7 0.6303 0.8697 0.2435  1 Cu 1.85
O8 0.6303 0.8697 0.7565  1 Cu 1.85
O9 0.8697 0.3697 0.2435  1 Cu 1.85
O10 0.8697 0.3697 0.7565  1 Cu 1.85

---

Density functional theory data (PBE) for a relaxed Tm2PuBi crystal.

Output
- mass density (g cm⁻³) = 11.85
- relative energy among the computed polymorphs (meV per atom) = 0
- spin magnetization (μB/f.u.) = 6.67
- formation energy (eV/atom) = -0.239
- D(E_F) (states/eV per atom) = 2.818
- space group = P4/mmm (123)

Unit cell a=4.8951 b=4.8951 c=4.6235 alpha=90.00 beta=90.00 gamma=90.00
Closest atoms and distances in Å follow each position.
Sites, in units of the cell vectors:
Tm1 0.0000 0.5000 0.0000  4 Bi 3.37, 4 Pu 3.37, 4 Tm 3.46
Tm2 0.5000 0.0000 0.0000  4 Bi 3.37, 4 Pu 3.37, 4 Tm 3.46
Pu1 0.0000 0.0000 0.5000  8 Tm 3.37, 4 Bi 3.46
Bi1 0.5000 0.5000 0.5000  8 Tm 3.37, 4 Pu 3.46

---

Density functional theory data (PBE) for a relaxed K2TlAg2 crystal.

Output
- mass density (g cm⁻³) = 4.90
- relative energy among the computed polymorphs (meV per atom) = 96
- spin magnetization (μB/f.u.) = 0.00
- formation energy (eV/atom) = 0.070
- D(E_F) (states/eV per atom) = 0.687
- space group = I4/mmm (139)

Unit cell a=11.4376 b=11.4376 c=11.4376 alpha=160.37 beta=160.37 gamma=27.91
Closest atoms and distances in Å follow each position.
Sites, in units of the cell vectors:
K1 0.1196 0.1196 0.0000  4 Ag 3.49, 4 Tl 3.83, 4 K 3.90
K2 0.8804 0.8804 0.0000  4 Ag 3.49, 4 Tl 3.83, 4 K 3.90
Tl1 0.5000 0.5000 0.0000  8 K 3.83, 4 Tl 3.90
Ag1 0.2500 0.7500 0.5000  4 Ag 2.76
Ag2 0.7500 0.2500 0.5000  4 Ag 2.76

---

Density functional theory data (PBE) for a relaxed Ho2Tm2Sb5 crystal.

Output
- mass density (g cm⁻³) = 8.40
- spin magnetization (μB/f.u.) = 0.00
- total DFT energy (no corrections) (eV/atom) = -5.104
- D(E_F) (states/eV per atom) = 0.585
- space group = Cmce (64)

Unit cell a=8.7245 b=8.7245 c=8.1919 alpha=90.00 beta=90.00 gamma=54.05
Closest atoms and distances in Å follow each position.
Sites, in units of the cell vectors:
Ho1 0.1915 0.1915 0.0000  7 Sb 2.98-3.21
Ho2 0.3085 0.3085 0.5000  7 Sb 2.98-3.21
Ho3 0.6915 0.6915 0.5000  7 Sb 2.98-3.21
Ho4 0.8085 0.8085 0.0000  7 Sb 2.98-3.21
Tm1 0.1549 0.8451 0.6598  8 Sb 3.03-3.33
Tm2 0.3451 0.6549 0.1598  8 Sb 3.03-3.33
Tm3 0.6549 0.3451 0.8402  8 Sb 3.03-3.33
Tm4 0.8451 0.1549 0.3402  8 Sb 3.03-3.33
Sb1 0.0000 0.0000 0.0000  2 Ho 2.98, 4 Tm 3.03-3.05
Sb2 0.0090 0.7110 0.3517  3 Tm 3.10-3.33, 3 Ho 3.12-3.21, 1 Sb 3.39
Sb3 0.2110 0.5090 0.8517  3 Tm 3.10-3.33, 3 Ho 3.12-3.21, 1 Sb 3.39
Sb4 0.2890 0.9910 0.3517  3 Tm 3.10-3.33, 3 Ho 3.12-3.21, 1 Sb 3.39
Sb5 0.4910 0.7890 0.8517  3 Tm 3.10-3.33, 3 Ho 3.12-3.21, 1 Sb 3.39
Sb6 0.5000 0.5000 0.5000  2 Ho 2.98, 4 Tm 3.03-3.05
Sb7 0.5090 0.2110 0.1483  3 Tm 3.10-3.33, 3 Ho 3.12-3.21, 1 Sb 3.39
Sb8 0.7110 0.0090 0.6483  3 Tm 3.10-3.33, 3 Ho 3.12-3.21, 1 Sb 3.39
Sb9 0.7890 0.4910 0.1483  3 Tm 3.10-3.33, 3 Ho 3.12-3.21, 1 Sb 3.39
Sb10 0.9910 0.2890 0.6483  3 Tm 3.10-3.33, 3 Ho 3.12-3.21, 1 Sb 3.39

---

Density functional theory data (PBE) for a relaxed K3Ga7Pt4 crystal.

Output
- mass density (g cm⁻³) = 7.93
- spin magnetization (μB/f.u.) = 0.00
- formation energy (eV/atom) = -0.344
- D(E_F) (states/eV per atom) = 0.367
- space group = C2/m (12)

Unit cell a=8.5464 b=8.5464 c=9.7438 alpha=124.04 beta=124.04 gamma=30.00
Closest atoms and distances in Å follow each position.
Sites, in units of the cell vectors:
K1 0.0000 0.0000 0.0000  6 Pt 3.14-3.35, 2 Ga 3.42
K2 0.3081 0.3081 0.3051  10 Ga 3.13-3.40, 4 Pt 3.21-3.29
K3 0.6919 0.6919 0.6949  10 Ga 3.13-3.40, 4 Pt 3.21-3.29
Ga1 0.0000 0.0000 0.5000  2 Pt 2.70
Ga2 0.1608 0.1608 0.4295  3 Pt 2.56-2.63
Ga3 0.3141 0.3141 0.9669  4 Pt 2.69-2.84, 1 Ga 2.80
Ga4 0.4968 0.4968 0.2841  3 Pt 2.59-2.71, 1 Ga 2.80
Ga5 0.5032 0.5032 0.7159  3 Pt 2.59-2.71, 1 Ga 2.80
Ga6 0.6859 0.6859 0.0331  4 Pt 2.69-2.84, 1 Ga 2.80
Ga7 0.8392 0.8392 0.5705  3 Pt 2.56-2.63
Pt1 0.1193 0.1193 0.8403  6 Ga 2.69-2.71
Pt2 0.3430 0.3430 0.7060  5 Ga 2.56-2.84
Pt3 0.6570 0.6570 0.2940  5 Ga 2.56-2.84
Pt4 0.8807 0.8807 0.1597  6 Ga 2.69-2.71

---

Density functional theory data (PBE) for a relaxed Sc2AuBr crystal.

Output
- mass density (g cm⁻³) = 6.49
- relative energy among the computed polymorphs (meV per atom) = 73
- spin magnetization (μB/f.u.) = 0.00
- D(E_F) (states/eV per atom) = 0.578
- space group = Imm2 (44)

Unit cell a=7.7630 b=7.7630 c=7.7630 alpha=154.32 beta=152.37 gamma=38.08
Closest atoms and distances in Å follow each position.
Sites, in units of the cell vectors:
Sc1 0.0000 0.0000 0.0000  2 Au 2.77, 4 Br 3.00
Sc2 0.7859 0.2859 0.5000  4 Au 2.76
Au1 0.3601 0.8601 0.5000  6 Sc 2.76-2.77
Br1 0.6100 0.6100 0.0000  6 Sc 3.00-3.10